1.
Sc2CCl2: optimized geometry, GGA-PBE.

The calculation puts the formation energy (no corrections) at -746 kJ/mol of formula units. The relative energy among the computed polymorphs comes out at 0 meV/atom.

It has space group C2/m (No. 12), with a = 5.973 Å, b = 3.448 Å, c = 10.126 Å, α = 90.00°, β = 102.80° and γ = 90.00°. Symmetry generates all atoms from Sc at (0.214, 0.000, 0.125), C at (0.000, 0.500, 0.000) and Cl at (0.056, 0.000, 0.706).

***

2.
Na3Ca2NbS6: optimized geometry, GGA-PBE.

The calculation puts the formation energy (no corrections) at -1644 kJ/mol of formula units.

It has space group C2/m (No. 12), with a = 6.809 Å, b = 11.804 Å, c = 6.984 Å, α = 90.00°, β = 109.23° and γ = 90.00°. Symmetry generates all atoms from Na at (0.000, 0.000, 0.000), Na at (0.000, 0.331, 0.000), Ca at (0.000, 0.167, 0.500), Nb at (0.000, 0.500, 0.500), S at (0.225, 0.349, 0.723) and S at (0.225, 0.500, 0.281).

***

3.
CaLa6Pr: optimized geometry, GGA-PBE.

Its formation energy is 24 kJ/mol of formula units. As for the density of states at the Fermi level: 13.2 states/eV per cell.

It has space group P4/mmm (No. 123), with a = 5.310 Å, b = 5.310 Å, c = 10.553 Å, α = 90.00°, β = 90.00° and γ = 90.00°. Symmetry generates all atoms from Ca at (0.000, 0.000, 0.000), La at (0.000, 0.500, 0.256), La at (0.500, 0.500, 0.000), La at (0.500, 0.500, 0.500) and Pr at (0.000, 0.000, 0.500).

***

4.
ReP2BrCl: optimized geometry, GGA-PBE.

The calculation puts the formation energy (no corrections) at 164 kJ/mol of formula units. The relative energy among the computed polymorphs comes out at 0 meV/atom. As for the density of states at the Fermi level: 2.9 states/eV per cell.

It has space group P4/mmm (No. 123), with a = 4.644 Å, b = 4.644 Å, c = 4.869 Å, α = 90.00°, β = 90.00° and γ = 90.00°. Symmetry generates all atoms from Re at (0.000, 0.000, 0.000), P at (0.000, 0.500, 0.000), Br at (0.500, 0.500, 0.500) and Cl at (0.000, 0.000, 0.500).

***

5.
KZrBe2: optimized geometry, GGA-PBE.

Its formation energy is 295 kJ/mol of formula units. The relative energy among the computed polymorphs comes out at 305 meV/atom. As for the density of states at the Fermi level: 3.7 states/eV per cell.

It has space group Imm2 (No. 44), with a = 2.734 Å, b = 5.103 Å, c = 10.767 Å, α = 90.00°, β = 90.00° and γ = 90.00°. Symmetry generates all atoms from K at (0.000, 0.000, 0.000), Zr at (0.000, 0.500, 0.806), Be at (0.000, 0.000, 0.559) and Be at (0.000, 0.500, 0.222).

***

6.
CePuNi17: optimized geometry, GGA-PBE.

Its formation energy is -249 kJ/mol of formula units. As for the density of states at the Fermi level: 131.6 states/eV per cell.

It has space group R3m (No. 160, hexagonal axes), with a = 8.2898 Å, b = 8.2898 Å, c = 12.0819 Å, α = 90.00°, β = 90.00° and γ = 120.00°. Symmetry generates all atoms from Ce at (0.0000, 0.0000, 0.0000), Pu at (0.0000, 0.0000, 0.6769), Ni at (0.0000, 0.0000, 0.2386), Ni at (0.0000, 0.0000, 0.4375), Ni at (0.0000, 0.2947, 0.3384), Ni at (0.9998, 0.4999, 0.1845), Ni at (0.0004, 0.5002, 0.4920) and Ni at (0.1671, 0.3342, 0.1722).

***

7.
CsRb2Tl3F6: optimized geometry, GGA-PBE.

The calculation puts the formation energy (no corrections) at -2537 kJ/mol of formula units. As for the density of states at the Fermi level: 0.0 states/eV per cell.

It has space group C2/m (No. 12), with a = 17.909 Å, b = 4.062 Å, c = 8.181 Å, α = 90.00°, β = 103.00° and γ = 90.00°. Symmetry generates all atoms from Cs at (0.000, 0.000, 0.000), Rb at (0.168, 0.500, 0.343), Tl at (0.000, 0.000, 0.500), Tl at (0.172, 0.500, 0.832), F at (0.008, 0.500, 0.270), F at (0.170, 0.000, 0.595) and F at (0.178, 0.000, 0.104).

***

8.
AlOsPb2: optimized geometry, GGA-PBE.

Its formation energy is 333 kJ/mol of formula units. As for the density of states at the Fermi level: 3.8 states/eV per cell.

It has space group P4/mmm (No. 123), with a = 4.647 Å, b = 4.647 Å, c = 3.945 Å, α = 90.00°, β = 90.00° and γ = 90.00°. Symmetry generates all atoms from Al at (0.000, 0.000, 0.000), Os at (0.500, 0.500, 0.000) and Pb at (0.000, 0.500, 0.500).

***

9.
SrOs2Br: optimized geometry, GGA-PBE.

The calculation puts the formation energy (no corrections) at 286 kJ/mol of formula units. The relative energy among the computed polymorphs comes out at 667 meV/atom. As for the density of states at the Fermi level: 4.2 states/eV per cell.

It has space group P4/mmm (No. 123), with a = 3.792 Å, b = 3.792 Å, c = 6.346 Å, α = 90.00°, β = 90.00° and γ = 90.00°. Symmetry generates all atoms from Sr at (0.000, 0.000, 0.000), Os at (0.000, 0.500, 0.500) and Br at (0.500, 0.500, 0.000).

***

10.
NbRePt3: optimized geometry, GGA-PBE.

Its formation energy is 615 kJ/mol of formula units. The relative energy among the computed polymorphs comes out at 0 meV/atom. As for the density of states at the Fermi level: 5.5 states/eV per cell.

It has space group Pm-3m (No. 221), with a = 4.793 Å, b = 4.793 Å, c = 4.793 Å, α = 90.00°, β = 90.00° and γ = 90.00°. Symmetry generates all atoms from Nb at (0.000, 0.000, 0.000), Re at (0.500, 0.500, 0.500) and Pt at (0.000, 0.500, 0.500).

***

11.
LiTc2B2: optimized geometry, GGA-PBE.

Its formation energy is -179 kJ/mol of formula units. As for the density of states at the Fermi level: 4.8 states/eV per cell.

It has space group P4/mbm (No. 127), with a = 5.725 Å, b = 5.725 Å, c = 3.022 Å, α = 90.00°, β = 90.00° and γ = 90.00°. Symmetry generates all atoms from Li at (0.000, 0.000, 0.000), Tc at (0.173, 0.327, 0.500) and B at (0.116, 0.616, 0.000).

***

12.
Eu2TmHf: optimized geometry, GGA-PBE.

Its formation energy is 116 kJ/mol of formula units. As for the density of states at the Fermi level: 17.3 states/eV per cell.

It has space group R-3m (No. 166, hexagonal axes), with a = 3.4627 Å, b = 3.4627 Å, c = 34.9453 Å, α = 90.00°, β = 90.00° and γ = 120.00°. Symmetry generates all atoms from Eu at (0.0000, 0.0000, 0.2453), Tm at (0.0000, 0.0000, 0.0000) and Hf at (0.0000, 0.0000, 0.5000).

***

13.
BiSb3O: optimized geometry, GGA-PBE.

The calculation puts the formation energy (no corrections) at 724 kJ/mol of formula units. The relative energy among the computed polymorphs comes out at 1528 meV/atom. As for the density of states at the Fermi level: 17.5 states/eV per cell.

It has space group Pm-3m (No. 221), with a = 5.834 Å, b = 5.834 Å, c = 5.834 Å, α = 90.00°, β = 90.00° and γ = 90.00°. Symmetry generates all atoms from Bi at (0.000, 0.000, 0.000), Sb at (0.000, 0.000, 0.500) and O at (0.500, 0.500, 0.500).